Entry i
A relaxed structure of TaHPd2, computed with GGA-PBE.

Geometry as extended XYZ:
```
8
Lattice="-2.8264 5.7379 -1.3612 -5.8510 -2.9169 -0.1466 -4.6155 1.8447 1.6514" Properties=species:S:1:pos:R:3 pbc="T T T"
H -4.3387 1.4105 -0.7539
H -7.4026 0.1691 0.3754
Pd -3.3624 3.0954 -0.3169
Pd -5.4534 -0.0573 0.0117
Pd -7.3146 2.1428 0.6581
Pd -10.4555 4.1504 -0.0658
Ta 0.0000 0.0000 0.0000
Ta -5.8903 4.4965 -0.2318
```

Properties
V   13.15 Å³ per atom
Symmetry   I-42d

---

Entry ii
A relaxed structure of TaHPd2, computed with GGA-PBE.

Geometry as extended XYZ:
```
4
Lattice="0.0000 3.0676 3.0676 3.0676 0.0000 3.0676 3.0676 3.0676 0.0000" Properties=species:S:1:pos:R:3 pbc="T T T"
H 0.0000 0.0000 0.0000
Pd 1.5338 1.5338 1.5338
Pd 4.6014 4.6014 4.6014
Ta 3.0676 3.0676 3.0676
```

Properties
V   14.43 Å³ per atom
Symmetry   Fm-3m

---

Entry iii
A relaxed structure of TaHPd2, computed with GGA-PBE.

Geometry as extended XYZ:
```
4
Lattice="2.8618 0.0000 0.0000 1.4309 2.4784 0.0000 1.4309 0.8261 7.5689" Properties=species:S:1:pos:R:3 pbc="T T T"
H 2.8618 1.6523 3.7845
Pd 1.4309 0.8261 5.0158
Pd 4.2927 2.4784 2.5531
Ta 0.0000 0.0000 0.0000
```

Properties
V   13.42 Å³ per atom
Symmetry   R-3m

---

It is entry ii that is the least stable of them.